Density functional theory data (GGA-PBE) for a geometry-optimized Tb2NbZn structure.

```
4
Lattice="3.189 0.000 0.000 1.595 2.762 0.000 1.595 0.921 10.914" Properties=species:S:1:pos:R:3 pbc="T T T"
Nb 0.000 0.000 0.000
Tb 1.595 0.921 7.931
Tb 4.784 2.762 2.983
Zn 3.189 1.841 5.457
```

Space-group type: R-3m, No. 166
Fermi-level density of states (states/eV per cell): 6.28
Energy (eV per atom): -4.670
Formation energy (kcal/mol of atoms): 11.1